1.
# TaBe2Nb2, relaxed, DFT GGA-PBEsol
# volume	13.950	A^3/atom
# DFT formation energy	-147	meV/atom
# magnetic moment	0.000	μB per atom
# E	-8.586	eV per atom
data_TaBe2Nb2
_cell_length_a 6.471
_cell_length_b 6.471
_cell_length_c 3.331
_cell_angle_alpha 90.00
_cell_angle_beta 90.00
_cell_angle_gamma 90.00
_space_group_name_H-M_alt 'P 4/m b m'
_space_group_IT_number 127
_space_group_name_Hall '-P 4 2ab'
loop_
_atom_site_label
_atom_site_type_symbol
_atom_site_fract_x
_atom_site_fract_y
_atom_site_fract_z
_atom_site_occupancy
Ta1 Ta 0.000 0.000 0.000 1
Be1 Be 0.114 0.386 0.000 1
Nb1 Nb 0.179 0.679 0.500 1

2.
# BaTl2In, relaxed, DFT GGA-PBEsol
# volume	31.830	A^3/atom
# DFT formation energy	-346	meV/atom
# magnetic moment	0.000	μB per atom
# E	-2.944	eV per atom
data_BaTl2In
_cell_length_a 5.0284
_cell_length_b 5.0284
_cell_length_c 17.4428
_cell_angle_alpha 90.00
_cell_angle_beta 90.00
_cell_angle_gamma 120.00
_space_group_name_H-M_alt 'R -3 m'
_space_group_IT_number 166
_space_group_name_Hall '-R 3 2"'
loop_
_atom_site_label
_atom_site_type_symbol
_atom_site_fract_x
_atom_site_fract_y
_atom_site_fract_z
_atom_site_occupancy
Ba1 Ba 0.0000 0.0000 0.0000 1
Tl1 Tl 0.0000 0.0000 0.2267 1
In1 In 0.0000 0.0000 0.5000 1

3.
# LaYW2, relaxed, DFT GGA-PBEsol
# volume	21.347	A^3/atom
# DFT formation energy	968	meV/atom
# magnetic moment	0.000	μB per atom
# E	-8.977	eV per atom
# energy above the most stable polymorph in this dataset	0.371	eV per atom
data_LaYW2
_cell_length_a 3.473
_cell_length_b 3.473
_cell_length_c 7.078
_cell_angle_alpha 90.00
_cell_angle_beta 90.00
_cell_angle_gamma 90.00
_space_group_name_H-M_alt 'P 4/m m m'
_space_group_IT_number 123
_space_group_name_Hall '-P 4 2'
loop_
_atom_site_label
_atom_site_type_symbol
_atom_site_fract_x
_atom_site_fract_y
_atom_site_fract_z
_atom_site_occupancy
La1 La 0.000 0.000 0.000 1
Y1 Y 0.000 0.000 0.500 1
W1 W 0.500 0.500 0.216 1